First-principles (PBE) data for crystalline SrMg2TaSb at its relaxed geometry, as listed in Alexandria via LeMat-Bulk.

Cell and atoms, written as POSCAR:
```
SrMg2TaSb
1.0
5.408 0.000 0.000
0.000 5.408 0.000
0.000 0.000 5.318
Sr Mg Ta Sb
1 2 1 1
direct
0.000 0.000 0.000 Sr
0.000 0.500 0.500 Mg
0.500 0.000 0.500 Mg
0.500 0.500 0.500 Ta
0.500 0.500 0.000 Sb
```

Results
Total energy ... -3.893 eV/atom
Total moment ... 0.5 μB/cell
Space-group type ... P4/mmm (123)
Raw formation energy ... 0.276 eV/atom
N(E_F) ... 4.503 states/eV/f.u.

***

First-principles (PBE) data for crystalline CeP2PtRh2 at its relaxed geometry, as listed in Alexandria via LeMat-Bulk.

Cell and atoms, written as POSCAR:
```
CeP2PtRh2
1.0
4.539 0.000 0.000
0.000 4.539 0.000
0.000 0.000 5.537
Ce P Pt Rh
1 2 1 2
direct
0.000 0.000 0.000 Ce
0.000 0.500 0.500 P
0.500 0.000 0.500 P
0.000 0.000 0.500 Pt
0.500 0.500 0.252 Rh
0.500 0.500 0.748 Rh
```

Results
Total energy ... -6.466 eV/atom
Total moment ... 0.7 μB/cell
Formation enthalpy at 0 K ... -0.216 eV/atom
Space-group type ... P4/mmm (123)
N(E_F) ... 9.354 states/eV/f.u.

***

First-principles (PBE) data for crystalline Nd4HgPb2 at its relaxed geometry, as listed in Alexandria via LeMat-Bulk.

Cell and atoms, written as POSCAR:
```
Nd4HgPb2
1.0
5.982 0.000 0.000
0.000 6.729 0.000
-1.696 0.000 10.813
Nd Hg Pb
8 2 4
direct
0.131 0.250 0.119 Nd
0.239 0.750 0.444 Nd
0.326 0.009 0.733 Nd
0.326 0.491 0.733 Nd
0.674 0.509 0.267 Nd
0.674 0.991 0.267 Nd
0.761 0.250 0.556 Nd
0.869 0.750 0.881 Nd
0.081 0.750 0.171 Hg
0.919 0.250 0.829 Hg
0.227 0.250 0.429 Pb
0.417 0.750 0.005 Pb
0.583 0.250 0.995 Pb
0.773 0.750 0.571 Pb
```

Results
Total energy ... -4.204 eV/atom
Total moment ... 0.0 μB/cell
Formation enthalpy at 0 K ... -0.377 eV/atom
Space-group type ... P2_1/m (11)
N(E_F) ... 7.937 states/eV/f.u.

***

First-principles (PBE) data for crystalline BaSr2Be at its relaxed geometry, as listed in Alexandria via LeMat-Bulk.

Cell and atoms, written as POSCAR:
```
BaSr2Be
1.0
2.214 1.278 11.134
-2.214 1.278 11.134
0.000 -2.556 11.134
Ba Sr Be
1 2 1
direct
0.000 0.000 0.000 Ba
0.221 0.221 0.221 Sr
0.779 0.779 0.779 Sr
0.500 0.500 0.500 Be
```

Results
Total energy ... -1.889 eV/atom
Total moment ... 0.0 μB/cell
Formation enthalpy at 0 K ... 0.364 eV/atom
Space-group type ... R-3m (166)
N(E_F) ... 5.138 states/eV/f.u.